DFT (PBE) results for crystalline Ba2NdCuO5 at its relaxed geometry.

Computed properties:
- volume (Å³ per atom) = 18.42
- raw total energy (eV for the cell shown) = -113.64
- size of the total moment (Bohr magnetons per cell) = 0.0
- formation energy from raw total energies (eV/atom) = -2.147

abc: 3.717 7.581 12.136
angles: 90.00 90.00 104.19
Fractional coordinates of all 18 atoms:
1 Ba 0.897 0.793 0.172
2 Ba 0.864 0.727 0.851
3 Ba 0.136 0.273 0.351
4 Ba 0.103 0.207 0.672
5 O 0.514 0.027 0.278
6 O 0.690 0.381 0.931
7 O 0.946 0.892 0.434
8 O 0.054 0.108 0.934
9 O 0.652 0.304 0.528
10 O 0.287 0.573 0.681
11 O 0.348 0.696 0.028
12 O 0.713 0.427 0.181
13 O 0.310 0.619 0.431
14 O 0.486 0.973 0.778
15 Nd 0.803 0.606 0.555
16 Nd 0.197 0.394 0.055
17 Cu 0.568 0.135 0.894
18 Cu 0.432 0.865 0.394